HfCu2Ir2 PBE optimized geometry; formation enthalpy at 0 K = -0.11 eV/atom
1.0
7.101 0.000 0.000
0.000 7.101 0.000
0.000 0.000 3.004
Ir Hf Cu
4 2 4
Direct
0.133 0.367 0.000
0.867 0.633 0.000
0.367 0.867 0.000
0.633 0.133 0.000
0.500 0.500 0.000
0.000 0.000 0.000
0.166 0.666 0.500
0.666 0.834 0.500
0.334 0.166 0.500
0.834 0.334 0.500

---

Mn2Ni15Pt2 PBE optimized geometry; formation enthalpy at 0 K = 0.08 eV/atom
1.0
6.030 -0.552 1.435
1.004 5.972 1.435
-0.717 -0.552 6.157
Ni Pt Mn
15 2 2
Direct
0.000 0.694 0.306
0.306 0.694 0.000
0.000 0.500 0.000
0.694 0.000 0.306
0.647 0.165 0.647
0.306 0.000 0.694
0.694 0.306 0.000
0.353 0.353 0.835
0.165 0.647 0.647
0.000 0.000 0.500
0.353 0.835 0.353
0.500 0.000 0.000
0.647 0.647 0.165
0.835 0.353 0.353
0.000 0.306 0.694
0.890 0.890 0.890
0.110 0.110 0.110
0.652 0.652 0.652
0.348 0.348 0.348

---

BeFeN3 PBE optimized geometry; energy relative to the elements, uncorrected = 1.550 eV per atom
1.0
-0.919 3.026 -1.157
-2.952 -0.286 1.595
1.335 1.450 2.731
Be N Fe
1 3 1
Direct
0.000 0.000 0.000
0.500 0.000 0.000
0.000 0.000 0.500
0.000 0.500 0.000
0.500 0.500 0.500